{"formula": "GaPdI2O", "functional": "PBE-GGA", "state": "optimized geometry", "lattice_angstrom": [[5.736, 0.000, 0.000], [0.000, 5.736, 0.000], [0.000, 0.000, 3.933]], "species": ["Ga", "Pd", "I", "I", "O"], "fractional_positions": [[0.000, 0.000, 0.000], [0.500, 0.500, 0.500], [0.000, 0.500, 0.500], [0.500, 0.000, 0.500], [0.500, 0.500, 0.000]], "n_ef_per_ev_atom": 0.40, "e_form_raw_mev_per_atom": -104, "spacegroup": "No. 123", "e_tot_ev_per_cell": -16.80}

=====

{"formula": "GaPdI2O", "functional": "PBE-GGA", "state": "optimized geometry", "lattice_angstrom": [[5.750, 0.000, 0.000], [0.000, 5.750, 0.000], [0.000, 0.000, 3.540]], "species": ["Ga", "Pd", "I", "I", "O"], "fractional_positions": [[0.000, 0.000, 0.000], [0.500, 0.500, 0.500], [0.000, 0.500, 0.000], [0.500, 0.000, 0.000], [0.000, 0.000, 0.500]], "n_ef_per_ev_atom": 0.98, "e_form_raw_mev_per_atom": -151, "spacegroup": "No. 123", "e_tot_ev_per_cell": -17.03}

=====

{"formula": "PmGaIO6", "functional": "PBE-GGA", "state": "optimized geometry", "lattice_angstrom": [[5.266, 0.000, 0.000], [-2.633, 4.561, 0.000], [0.000, 0.000, 5.113]], "species": ["Pm", "Ga", "I", "O", "O", "O", "O", "O", "O"], "fractional_positions": [[0.000, 0.000, 0.000], [0.333, 0.667, 0.500], [0.667, 0.333, 0.500], [0.001, 0.365, 0.719], [0.001, 0.635, 0.281], [0.365, 0.365, 0.281], [0.365, 0.999, 0.719], [0.635, 0.635, 0.719], [0.635, 0.999, 0.281]], "n_ef_per_ev_atom": 0.26, "e_form_raw_mev_per_atom": -1575, "spacegroup": "No. 149", "e_tot_ev_per_cell": -53.25}

=====

{"formula": "PmGa2IO8", "functional": "PBE-GGA", "state": "optimized geometry", "lattice_angstrom": [[3.598, -3.145, 0.000], [3.598, 3.145, 0.000], [-1.139, 0.000, 6.753]], "species": ["Pm", "Ga", "Ga", "I", "O", "O", "O", "O", "O", "O", "O", "O"], "fractional_positions": [[0.000, 0.000, 0.000], [0.448, 0.448, 0.779], [0.552, 0.552, 0.221], [0.000, 0.000, 0.500], [0.195, 0.784, 0.288], [0.216, 0.805, 0.712], [0.263, 0.263, 0.534], [0.327, 0.327, 0.009], [0.673, 0.673, 0.991], [0.737, 0.737, 0.466], [0.784, 0.195, 0.288], [0.805, 0.216, 0.712]], "e_form_raw_mev_per_atom": -1468, "spacegroup": "No. 12", "e_tot_ev_per_cell": -69.64}

=====

{"formula": "PrGa2IO8", "functional": "PBE-GGA", "state": "optimized geometry", "lattice_angstrom": [[3.654, -3.119, 0.000], [3.654, 3.119, 0.000], [-1.284, 0.000, 6.818]], "species": ["Pr", "Ga", "Ga", "I", "O", "O", "O", "O", "O", "O", "O", "O"], "fractional_positions": [[0.000, 0.000, 0.000], [0.445, 0.445, 0.779], [0.555, 0.555, 0.221], [0.000, 0.000, 0.500], [0.195, 0.779, 0.291], [0.221, 0.805, 0.709], [0.259, 0.259, 0.536], [0.330, 0.330, 0.006], [0.670, 0.670, 0.994], [0.741, 0.741, 0.464], [0.779, 0.195, 0.291], [0.805, 0.221, 0.709]], "e_form_raw_mev_per_atom": -1448, "spacegroup": "No. 12", "e_tot_ev_per_cell": -69.42}

=====

{"formula": "RbGaIO6", "functional": "PBE-GGA", "state": "optimized geometry", "lattice_angstrom": [[5.228, 0.000, 0.000], [-2.614, 4.528, 0.000], [0.000, 0.000, 6.434]], "species": ["Rb", "Ga", "I", "O", "O", "O", "O", "O", "O"], "fractional_positions": [[0.000, 0.000, 0.000], [0.333, 0.667, 0.500], [0.667, 0.333, 0.500], [0.392, 0.015, 0.670], [0.392, 0.376, 0.330], [0.624, 0.015, 0.330], [0.624, 0.608, 0.670], [0.985, 0.376, 0.670], [0.985, 0.608, 0.330]], "n_ef_per_ev_atom": 0.74, "e_form_raw_mev_per_atom": -893, "spacegroup": "No. 149", "e_tot_ev_per_cell": -43.33}

=====

{"formula": "RbGaI2O", "functional": "PBE-GGA", "state": "optimized geometry", "lattice_angstrom": [[6.243, 0.000, 0.000], [0.000, 6.243, 0.000], [0.000, 0.000, 3.714]], "species": ["Rb", "Ga", "I", "I", "O"], "fractional_positions": [[0.000, 0.000, 0.000], [0.500, 0.500, 0.500], [0.000, 0.500, 0.500], [0.500, 0.000, 0.500], [0.500, 0.500, 0.000]], "n_ef_per_ev_atom": 0.45, "e_form_raw_mev_per_atom": -935, "spacegroup": "No. 123", "e_tot_ev_per_cell": -16.73}

=====

{"formula": "RbGaI2O", "functional": "PBE-GGA", "state": "optimized geometry", "lattice_angstrom": [[6.826, 0.000, 0.000], [0.000, 6.826, 0.000], [0.000, 0.000, 5.152]], "species": ["Rb", "Ga", "I", "I", "O"], "fractional_positions": [[0.000, 0.000, 0.000], [0.500, 0.500, 0.500], [0.000, 0.500, 0.000], [0.500, 0.000, 0.000], [0.000, 0.000, 0.500]], "n_ef_per_ev_atom": 1.82, "e_form_raw_mev_per_atom": 83, "spacegroup": "No. 123", "e_tot_ev_per_cell": -11.64}